VASP calculation (GGA-PBE) on a geometry-optimized KNa2Th structure.

Symmetry: R-3m
Magnetic moment (μB/cell): 0.00
Final energy (eV per atom): -2.411

a b c (Å): 3.527 3.527 43.420
angles (deg): 90.00 90.00 120.00
Element x y z (fractional)
K  0.000  0.000  0.000
K  0.333  0.667  0.667
K  0.667  0.333  0.333
Na  0.000  0.000  0.419
Na  0.000  0.000  0.581
Na  0.333  0.667  0.085
Na  0.333  0.667  0.248
Na  0.667  0.333  0.752
Na  0.667  0.333  0.915
Th  0.000  0.000  0.500
Th  0.333  0.667  0.167
Th  0.667  0.333  0.833

VASP calculation (GGA-PBE) on a geometry-optimized KNaTi3 structure.

Symmetry: Pm-3m
Magnetic moment (μB/cell): 2.60
Final energy (eV per atom): -3.153

a b c (Å): 4.847 4.847 4.847
angles (deg): 90.00 90.00 90.00
Element x y z (fractional)
K  0.000  0.000  0.000
Na  0.500  0.500  0.500
Ti  0.000  0.000  0.500
Ti  0.000  0.500  0.000
Ti  0.500  0.000  0.000

VASP calculation (GGA-PBE) on a geometry-optimized KNa2Ti structure.

Symmetry: Fm-3m
Magnetic moment (μB/cell): 12.77
ΔE to the lowest computed polymorph (meV/atom): 0
Final energy (eV per atom): -2.116

a b c (Å): 8.335 8.335 8.335
angles (deg): 90.00 90.00 90.00
Element x y z (fractional)
K  0.000  0.000  0.000
K  0.000  0.500  0.500
K  0.500  0.000  0.500
K  0.500  0.500  0.000
Na  0.250  0.250  0.250
Na  0.250  0.250  0.750
Na  0.250  0.750  0.250
Na  0.250  0.750  0.750
Na  0.750  0.250  0.250
Na  0.750  0.250  0.750
Na  0.750  0.750  0.250
Na  0.750  0.750  0.750
Ti  0.000  0.000  0.500
Ti  0.000  0.500  0.000
Ti  0.500  0.000  0.000
Ti  0.500  0.500  0.500

VASP calculation (GGA-PBE) on a geometry-optimized KNa2Ti structure.

Symmetry: I-42d
Magnetic moment (μB/cell): 12.03
ΔE to the lowest computed polymorph (meV/atom): 86
Final energy (eV per atom): -2.030

a b c (Å): 9.266 9.266 7.234
angles (deg): 90.00 90.00 90.00
Element x y z (fractional)
K  0.000  0.000  0.000
K  0.000  0.500  0.250
K  0.500  0.000  0.750
K  0.500  0.500  0.500
Na  0.227  0.250  0.625
Na  0.250  0.727  0.875
Na  0.250  0.773  0.375
Na  0.273  0.250  0.125
Na  0.727  0.750  0.125
Na  0.750  0.227  0.375
Na  0.750  0.273  0.875
Na  0.773  0.750  0.625
Ti  0.000  0.000  0.500
Ti  0.000  0.500  0.750
Ti  0.500  0.000  0.250
Ti  0.500  0.500  0.000

VASP calculation (GGA-PBE) on a geometry-optimized K3NaTi structure.

Symmetry: Pm-3m
Magnetic moment (μB/cell): 3.99
ΔE to the lowest computed polymorph (meV/atom): 0
Final energy (eV per atom): -1.661

a b c (Å): 6.837 6.837 6.837
angles (deg): 90.00 90.00 90.00
Element x y z (fractional)
K  0.000  0.000  0.500
K  0.000  0.500  0.000
K  0.500  0.000  0.000
Na  0.500  0.500  0.500
Ti  0.000  0.000  0.000

VASP calculation (GGA-PBE) on a geometry-optimized KNa5Tl2 structure.

Symmetry: Immm
Magnetic moment (μB/cell): 0.00
ΔE to the lowest computed polymorph (meV/atom): 0
Final energy (eV per atom): -1.596

a b c (Å): 3.894 10.802 13.378
angles (deg): 90.00 90.00 90.00
Element x y z (fractional)
K  0.000  0.000  0.000
K  0.500  0.500  0.500
Na  0.000  0.213  0.355
Na  0.000  0.213  0.645
Na  0.000  0.500  0.000
Na  0.000  0.787  0.355
Na  0.000  0.787  0.645
Na  0.500  0.000  0.500
Na  0.500  0.287  0.145
Na  0.500  0.287  0.855
Na  0.500  0.713  0.145
Na  0.500  0.713  0.855
Tl  0.000  0.500  0.256
Tl  0.000  0.500  0.744
Tl  0.500  0.000  0.244
Tl  0.500  0.000  0.756

VASP calculation (GGA-PBE) on a geometry-optimized K3Na4Tl2 structure.

Symmetry: C2/c
Magnetic moment (μB/cell): 0.00
Final energy (eV per atom): -1.511

a b c (Å): 9.566 9.566 9.061
angles (deg): 106.89 106.89 85.24
Element x y z (fractional)
K  0.096  0.904  0.750
K  0.297  0.551  0.932
K  0.449  0.703  0.568
K  0.551  0.297  0.432
K  0.703  0.449  0.068
K  0.904  0.096  0.250
Na  0.049  0.684  0.287
Na  0.156  0.301  0.117
Na  0.301  0.156  0.617
Na  0.316  0.951  0.213
Na  0.684  0.049  0.787
Na  0.699  0.844  0.383
Na  0.844  0.699  0.883
Na  0.951  0.316  0.713
Tl  0.148  0.431  0.488
Tl  0.431  0.148  0.988
Tl  0.569  0.852  0.012
Tl  0.852  0.569  0.512

VASP calculation (GGA-PBE) on a geometry-optimized KNaTl5 structure.

Symmetry: P4/mmm
Magnetic moment (μB/cell): 0.00
ΔE to the lowest computed polymorph (meV/atom): 0
Final energy (eV per atom): -2.092

a b c (Å): 4.700 4.700 10.919
angles (deg): 90.00 90.00 90.00
Element x y z (fractional)
K  0.000  0.000  0.000
Na  0.500  0.500  0.500
Tl  0.000  0.000  0.500
Tl  0.000  0.500  0.268
Tl  0.000  0.500  0.732
Tl  0.500  0.000  0.268
Tl  0.500  0.000  0.732

VASP calculation (GGA-PBE) on a geometry-optimized KNa7Tl5 structure.

Symmetry: Imm2
Magnetic moment (μB/cell): 0.00
Final energy (eV per atom): -1.797

a b c (Å): 8.640 8.640 8.640
angles (deg): 134.58 99.02 98.12
Element x y z (fractional)
K  0.000  0.000  0.000
Na  0.217  0.507  0.710
Na  0.238  0.738  0.500
Na  0.348  0.348  0.000
Na  0.362  0.018  0.344
Na  0.672  0.672  0.000
Na  0.675  0.018  0.656
Na  0.797  0.507  0.290
Tl  0.012  0.007  0.494
Tl  0.012  0.517  0.004
Tl  0.513  0.007  0.996
Tl  0.513  0.517  0.506
Tl  0.784  0.284  0.500

VASP calculation (GGA-PBE) on a geometry-optimized K2Na7Tl structure.

Symmetry: Fm-3m
Magnetic moment (μB/cell): 0.00
ΔE to the lowest computed polymorph (meV/atom): 32
Final energy (eV per atom): -1.313

a b c (Å): 8.780 8.780 8.780
angles (deg): 60.00 60.00 60.00
Element x y z (fractional)
K  0.250  0.250  0.250
K  0.750  0.750  0.750
Na  0.000  0.000  0.000
Na  0.257  0.257  0.743
Na  0.257  0.743  0.257
Na  0.257  0.743  0.743
Na  0.743  0.257  0.257
Na  0.743  0.257  0.743
Na  0.743  0.743  0.257
Tl  0.500  0.500  0.500

Number 1: energy of formation 0.3778 eV per atom. Number 2: energy of formation 2.0677 eV per atom. Number 3: energy of formation 0.7918 eV per atom. Number 4: energy of formation 0.8777 eV per atom. Number 5: energy of formation 0.8399 eV per atom. Number 6: energy of formation -0.0426 eV per atom. Number 7: energy of formation -0.0335 eV per atom. Number 8: energy of formation -0.0570 eV per atom. Number 9: energy of formation -0.0922 eV per atom. Number 10: energy of formation 0.0661 eV per atom.